Record 1
Density functional theory data (PBE) for crystalline Th3TeSe5 at its relaxed geometry.

As for the total DFT energy (no corrections): -113.0 eV per cell.

abc: 8.215 8.215 10.782
angles: 71.29 71.29 70.99
Sites, in units of the cell vectors:
Th: 0.669 0.669 0.830
Th: 0.647 0.647 0.316
Th: 0.000 0.000 0.000
Th: 0.000 0.000 0.500
Th: 0.331 0.331 0.170
Th: 0.353 0.353 0.684
Te: 0.119 0.119 0.691
Te: 0.881 0.881 0.309
Se: 0.966 0.355 0.324
Se: 0.309 0.691 0.000
Se: 0.773 0.773 0.027
Se: 0.416 0.416 0.388
Se: 0.584 0.584 0.612
Se: 0.227 0.227 0.973
Se: 0.355 0.966 0.324
Se: 0.691 0.309 0.000
Se: 0.034 0.645 0.676
Se: 0.645 0.034 0.676



Record 2
Density functional theory data (PBE) for crystalline Th5TeSe4 at its relaxed geometry.

As for the total DFT energy (no corrections): -68.4 eV per cell.

abc: 4.166 6.037 11.464
angles: 105.26 100.47 90.00
Sites, in units of the cell vectors:
Th: 0.609 0.109 0.217
Th: 0.803 0.303 0.605
Th: 0.197 0.697 0.395
Th: 0.000 0.500 0.000
Th: 0.391 0.891 0.783
Te: 0.000 0.000 0.000
Se: 0.401 0.401 0.802
Se: 0.795 0.795 0.589
Se: 0.205 0.205 0.411
Se: 0.599 0.599 0.198



Record 3
Density functional theory data (PBE) for crystalline Th5Te5Se2 at its relaxed geometry.

As for the total DFT energy (no corrections): -74.4 eV per cell.

abc: 4.217 7.569 13.223
angles: 109.04 90.00 106.17
Sites, in units of the cell vectors:
Th: 0.133 0.267 0.428
Th: 0.678 0.355 0.796
Th: 0.322 0.645 0.204
Th: 0.867 0.733 0.572
Th: 0.000 0.000 0.000
Te: 0.500 0.000 0.500
Te: 0.670 0.339 0.044
Te: 0.736 0.473 0.327
Te: 0.264 0.527 0.673
Te: 0.330 0.661 0.956
Se: 0.030 0.059 0.788
Se: 0.970 0.941 0.212



Record 4
Density functional theory data (PBE) for crystalline Th6TeSe12 at its relaxed geometry.

As for the total DFT energy (no corrections): -117.0 eV per cell.

abc: 8.654 8.654 8.654
angles: 104.14 104.14 104.14
Site moments in Bohr magnetons follow the coordinates.
Sites, in units of the cell vectors:
Th: 0.667 0.248 0.248  0.00
Th: 0.248 0.248 0.667  0.00
Th: 0.248 0.667 0.248  0.00
Th: 0.752 0.752 0.333  0.00
Th: 0.333 0.752 0.752  0.00
Th: 0.752 0.333 0.752  0.00
Te: 0.000 0.000 0.000  0.51
Se: 0.872 0.128 0.500  0.01
Se: 0.819 0.549 0.549  0.01
Se: 0.549 0.549 0.819  0.01
Se: 0.451 0.181 0.451  0.01
Se: 0.451 0.451 0.181  0.01
Se: 0.181 0.451 0.451  0.01
Se: 0.128 0.500 0.872  0.01
Se: 0.500 0.872 0.128  0.01
Se: 0.128 0.872 0.500  0.01
Se: 0.872 0.500 0.128  0.01
Se: 0.500 0.128 0.872  0.01
Se: 0.549 0.819 0.549  0.01



Record 5
Density functional theory data (PBE) for crystalline ThTeSe at its relaxed geometry.

For the energy relative to the lowest polymorph listed for this composition, the calculation gives 0.053 eV/atom.

abc: 7.716 8.891 7.788
angles: 90.00 111.41 90.00
Sites, in units of the cell vectors:
Te: 0.514 0.621 0.748
Te: 0.986 0.121 0.252
Te: 0.486 0.379 0.252
Te: 0.014 0.879 0.748
Th: 0.257 0.874 0.498
Th: 0.243 0.374 0.502
Th: 0.743 0.126 0.502
Th: 0.757 0.626 0.498
Se: 0.016 0.628 0.303
Se: 0.484 0.128 0.697
Se: 0.984 0.372 0.697
Se: 0.516 0.872 0.303



Record 6
Density functional theory data (PBE) for crystalline Th6TeSe8 at its relaxed geometry.

As for the total DFT energy (no corrections): -98.0 eV per cell.

abc: 7.883 7.883 9.167
angles: 64.53 64.53 60.00
Sites, in units of the cell vectors:
Th: 0.428 0.068 0.788
Th: 0.932 0.284 0.212
Th: 0.284 0.572 0.212
Th: 0.716 0.428 0.788
Th: 0.068 0.716 0.788
Th: 0.572 0.932 0.212
Te: 0.000 0.000 0.000
Se: 0.567 0.192 0.371
Se: 0.808 0.130 0.629
Se: 0.130 0.433 0.629
Se: 0.666 0.666 0.002
Se: 0.334 0.334 0.998
Se: 0.870 0.567 0.371
Se: 0.192 0.870 0.371
Se: 0.433 0.808 0.629



Record 7
Density functional theory data (PBE) for crystalline Th2TeSe3 at its relaxed geometry.

For the energy relative to the lowest polymorph listed for this composition, the calculation gives 0.000 eV/atom.

abc: 5.018 8.787 8.787
angles: 100.07 90.00 106.59
Sites, in units of the cell vectors:
Th: 0.127 0.253 0.890
Th: 0.873 0.747 0.110
Th: 0.364 0.729 0.631
Th: 0.636 0.271 0.369
Te: 0.561 0.122 0.687
Te: 0.439 0.878 0.313
Se: 0.934 0.868 0.815
Se: 0.066 0.132 0.185
Se: 0.308 0.616 0.935
Se: 0.692 0.384 0.065
Se: 0.186 0.371 0.561
Se: 0.814 0.629 0.439



Record 8
Density functional theory data (PBE) for crystalline ThTeSe at its relaxed geometry.

For the energy relative to the lowest polymorph listed for this composition, the calculation gives 0.136 eV/atom.

abc: 3.973 3.973 5.810
angles: 109.99 109.99 90.00
Sites, in units of the cell vectors:
Te: 0.008 0.008 0.016
Th: 0.677 0.677 0.354
Se: 0.315 0.315 0.630



The following ρ values (in g/cm³) correspond, in order, to the records above: 6.40 9.75 8.52 7.10 5.86 8.34 7.54 9.07.